{"formula": "Pm3PrAl8", "functional": "PBE", "state": "optimized geometry", "ef_kj_per_mol_atoms": -49, "de_polymorph_mev_per_atom": 0, "total_magnetization_mub_per_cell": 0.0, "cell": [[2.835, 1.637, 9.278], [-2.835, 1.637, 9.278], [0.000, -3.273, 9.278]], "species": ["Pm", "Pm", "Pm", "Pr", "Al", "Al", "Al", "Al", "Al", "Al", "Al", "Al"], "frac_coords": [[0.000, 0.000, 0.000], [0.125, 0.125, 0.125], [0.500, 0.500, 0.500], [0.625, 0.625, 0.625], [0.062, 0.062, 0.562], [0.062, 0.562, 0.062], [0.063, 0.563, 0.563], [0.313, 0.313, 0.313], [0.562, 0.062, 0.062], [0.563, 0.063, 0.563], [0.563, 0.563, 0.063], [0.812, 0.812, 0.812]]}

{"formula": "Pm12Pr3Al", "functional": "PBE", "state": "optimized geometry", "ef_kj_per_mol_atoms": -1, "total_magnetization_mub_per_cell": 0.0, "cell": [[5.077, 0.000, 0.000], [0.000, 5.077, 0.000], [0.000, 0.000, 20.688]], "species": ["Pm", "Pm", "Pm", "Pm", "Pm", "Pm", "Pm", "Pm", "Pm", "Pm", "Pm", "Pm", "Pr", "Pr", "Pr", "Al"], "frac_coords": [[0.000, 0.000, 0.000], [0.000, 0.000, 0.242], [0.000, 0.000, 0.500], [0.000, 0.000, 0.758], [0.000, 0.500, 0.115], [0.000, 0.500, 0.372], [0.000, 0.500, 0.628], [0.000, 0.500, 0.885], [0.500, 0.000, 0.115], [0.500, 0.000, 0.372], [0.500, 0.000, 0.628], [0.500, 0.000, 0.885], [0.500, 0.500, 0.245], [0.500, 0.500, 0.500], [0.500, 0.500, 0.755], [0.500, 0.500, 0.000]]}

{"formula": "Pm12PrAl3", "functional": "PBE", "state": "optimized geometry", "ef_kj_per_mol_atoms": -11, "total_magnetization_mub_per_cell": 0.0, "cell": [[4.907, 0.000, 0.000], [0.000, 4.907, 0.000], [0.000, 0.000, 20.145]], "species": ["Pm", "Pm", "Pm", "Pm", "Pm", "Pm", "Pm", "Pm", "Pm", "Pm", "Pm", "Pm", "Pr", "Al", "Al", "Al"], "frac_coords": [[0.000, 0.000, 0.000], [0.000, 0.000, 0.240], [0.000, 0.000, 0.500], [0.000, 0.000, 0.760], [0.000, 0.500, 0.121], [0.000, 0.500, 0.363], [0.000, 0.500, 0.637], [0.000, 0.500, 0.879], [0.500, 0.000, 0.121], [0.500, 0.000, 0.363], [0.500, 0.000, 0.637], [0.500, 0.000, 0.879], [0.500, 0.500, 0.500], [0.500, 0.500, 0.000], [0.500, 0.500, 0.241], [0.500, 0.500, 0.759]]}

{"formula": "Pm3Pr12Al", "functional": "PBE", "state": "optimized geometry", "ef_kj_per_mol_atoms": -2, "total_magnetization_mub_per_cell": 0.0, "cell": [[5.127, 0.000, 0.000], [0.000, 5.127, 0.000], [0.000, 0.000, 20.900]], "species": ["Pm", "Pm", "Pm", "Pr", "Pr", "Pr", "Pr", "Pr", "Pr", "Pr", "Pr", "Pr", "Pr", "Pr", "Pr", "Al"], "frac_coords": [[0.000, 0.000, 0.000], [0.000, 0.000, 0.255], [0.000, 0.000, 0.745], [0.000, 0.500, 0.128], [0.000, 0.500, 0.384], [0.000, 0.500, 0.616], [0.000, 0.500, 0.872], [0.500, 0.000, 0.128], [0.500, 0.000, 0.384], [0.500, 0.000, 0.616], [0.500, 0.000, 0.872], [0.500, 0.500, 0.000], [0.500, 0.500, 0.256], [0.500, 0.500, 0.500], [0.500, 0.500, 0.744], [0.000, 0.000, 0.500]]}

{"formula": "PmPr14Al", "functional": "PBE", "state": "optimized geometry", "ef_kj_per_mol_atoms": -1, "total_magnetization_mub_per_cell": 0.0, "cell": [[10.282, 0.000, 0.000], [0.000, 5.178, 5.178], [0.000, -5.178, 5.178]], "species": ["Pm", "Pr", "Pr", "Pr", "Pr", "Pr", "Pr", "Pr", "Pr", "Pr", "Pr", "Pr", "Pr", "Pr", "Pr", "Al"], "frac_coords": [[0.000, 0.000, 0.000], [0.000, 0.001, 0.499], [0.000, 0.499, 0.001], [0.240, 0.743, 0.743], [0.241, 0.257, 0.257], [0.241, 0.257, 0.743], [0.241, 0.743, 0.257], [0.500, 0.000, 0.000], [0.500, 0.000, 0.500], [0.500, 0.500, 0.000], [0.500, 0.500, 0.500], [0.759, 0.257, 0.257], [0.759, 0.257, 0.743], [0.759, 0.743, 0.257], [0.760, 0.743, 0.743], [0.000, 0.500, 0.500]]}

{"formula": "PmPr3Al", "functional": "PBE", "state": "optimized geometry", "ef_kj_per_mol_atoms": -10, "de_polymorph_mev_per_atom": 0, "total_magnetization_mub_per_cell": 0.0, "cell": [[3.796, 0.000, 0.000], [-0.004, 8.852, 0.000], [-1.898, -2.321, 9.577]], "species": ["Pm", "Pm", "Pr", "Pr", "Pr", "Pr", "Pr", "Pr", "Al", "Al"], "frac_coords": [[0.093, 0.041, 0.189], [0.907, 0.959, 0.811], [0.303, 0.178, 0.605], [0.315, 0.622, 0.629], [0.498, 0.704, 0.998], [0.502, 0.296, 0.002], [0.685, 0.378, 0.371], [0.697, 0.822, 0.395], [0.102, 0.565, 0.205], [0.898, 0.435, 0.795]]}

{"formula": "Pm3Pr2Al", "functional": "PBE", "state": "optimized geometry", "ef_kj_per_mol_atoms": -7, "total_magnetization_mub_per_cell": 0.0, "cell": [[2.461, -7.745, 0.000], [2.461, 7.745, 0.000], [0.000, 0.000, 4.931]], "species": ["Pm", "Pm", "Pm", "Pr", "Pr", "Al"], "frac_coords": [[0.000, 0.000, 0.000], [0.342, 0.658, 0.000], [0.658, 0.342, 0.000], [0.160, 0.840, 0.500], [0.840, 0.160, 0.500], [0.500, 0.500, 0.500]]}

{"formula": "Pm5Pr8Al", "functional": "PBE", "state": "optimized geometry", "ef_kj_per_mol_atoms": 15, "total_magnetization_mub_per_cell": 0.0, "cell": [[-5.216, 5.216, 4.520], [5.216, -5.216, 4.520], [5.216, 5.216, -4.520]], "species": ["Pm", "Pm", "Pm", "Pm", "Pm", "Pr", "Pr", "Pr", "Pr", "Pr", "Pr", "Pr", "Pr", "Al"], "frac_coords": [[0.000, 0.000, 0.000], [0.307, 0.519, 0.098], [0.421, 0.209, 0.902], [0.481, 0.579, 0.788], [0.791, 0.693, 0.212], [0.029, 0.126, 0.582], [0.038, 0.401, 0.318], [0.083, 0.721, 0.682], [0.279, 0.962, 0.363], [0.544, 0.448, 0.418], [0.552, 0.971, 0.096], [0.599, 0.917, 0.637], [0.874, 0.456, 0.904], [0.750, 0.250, 0.500]]}

{"formula": "Pm4PrAl3", "functional": "PBE", "state": "optimized geometry", "ef_kj_per_mol_atoms": -24, "total_magnetization_mub_per_cell": 0.0, "cell": [[4.925, 0.000, 0.000], [0.000, 4.925, 0.000], [0.000, 0.000, 9.066]], "species": ["Pm", "Pm", "Pm", "Pm", "Pr", "Al", "Al", "Al"], "frac_coords": [[0.000, 0.500, 0.224], [0.000, 0.500, 0.776], [0.500, 0.000, 0.224], [0.500, 0.000, 0.776], [0.000, 0.000, 0.500], [0.000, 0.000, 0.000], [0.500, 0.500, 0.000], [0.500, 0.500, 0.500]]}

{"formula": "PmPr2Al9", "functional": "PBE", "state": "optimized geometry", "ef_kj_per_mol_atoms": -36, "total_magnetization_mub_per_cell": 0.0, "cell": [[2.845, 1.643, 8.873], [-2.845, 1.643, 8.873], [0.000, -3.285, 8.873]], "species": ["Pm", "Pr", "Pr", "Al", "Al", "Al", "Al", "Al", "Al", "Al", "Al", "Al"], "frac_coords": [[0.000, 0.000, 0.000], [0.141, 0.141, 0.141], [0.859, 0.859, 0.859], [0.075, 0.586, 0.586], [0.335, 0.335, 0.335], [0.414, 0.414, 0.925], [0.414, 0.925, 0.414], [0.500, 0.500, 0.500], [0.586, 0.075, 0.586], [0.586, 0.586, 0.075], [0.665, 0.665, 0.665], [0.925, 0.414, 0.414]]}

{"formula": "PmPr2Al2", "functional": "PBE", "state": "optimized geometry", "ef_kj_per_mol_atoms": -29, "total_magnetization_mub_per_cell": 0.0, "cell": [[-2.513, 3.491, 4.041], [2.513, -3.491, 4.041], [2.513, 3.491, -4.041]], "species": ["Pm", "Pr", "Pr", "Al", "Al"], "frac_coords": [[0.000, 0.000, 0.000], [0.301, 0.801, 0.500], [0.699, 0.199, 0.500], [0.307, 0.500, 0.807], [0.693, 0.500, 0.193]]}

{"formula": "Pm2PrAl6", "functional": "PBE", "state": "optimized geometry", "ef_kj_per_mol_atoms": -46, "de_polymorph_mev_per_atom": 0, "total_magnetization_mub_per_cell": 0.0, "cell": [[7.965, 0.000, 0.000], [-3.983, 6.898, 0.000], [0.000, 0.000, 3.726]], "species": ["Pm", "Pm", "Pr", "Al", "Al", "Al", "Al", "Al", "Al"], "frac_coords": [[0.333, 0.667, 0.000], [0.667, 0.333, 0.000], [0.000, 0.000, 0.000], [0.000, 0.334, 0.500], [0.000, 0.666, 0.500], [0.334, 0.000, 0.500], [0.334, 0.334, 0.500], [0.666, 0.000, 0.500], [0.666, 0.666, 0.500]]}

{"formula": "PmPr3Al8", "functional": "PBE", "state": "optimized geometry", "ef_kj_per_mol_atoms": -48, "de_polymorph_mev_per_atom": 0, "total_magnetization_mub_per_cell": 0.0, "cell": [[2.849, 1.645, 9.317], [-2.849, 1.645, 9.317], [0.000, -3.290, 9.317]], "species": ["Pm", "Pr", "Pr", "Pr", "Al", "Al", "Al", "Al", "Al", "Al", "Al", "Al"], "frac_coords": [[0.000, 0.000, 0.000], [0.375, 0.375, 0.375], [0.500, 0.500, 0.500], [0.875, 0.875, 0.875], [0.188, 0.188, 0.188], [0.437, 0.937, 0.937], [0.438, 0.438, 0.938], [0.438, 0.938, 0.438], [0.687, 0.687, 0.687], [0.937, 0.437, 0.937], [0.937, 0.937, 0.437], [0.938, 0.438, 0.438]]}

{"formula": "Pm4Pr2Al", "functional": "PBE", "state": "optimized geometry", "ef_kj_per_mol_atoms": -1, "total_magnetization_mub_per_cell": 0.0, "cell": [[1.847, 1.066, 19.773], [-1.847, 1.066, 19.773], [0.000, -2.132, 19.773]], "species": ["Pm", "Pm", "Pm", "Pm", "Pr", "Pr", "Al"], "frac_coords": [[0.090, 0.090, 0.090], [0.295, 0.295, 0.295], [0.705, 0.705, 0.705], [0.910, 0.910, 0.910], [0.193, 0.193, 0.193], [0.807, 0.807, 0.807], [0.000, 0.000, 0.000]]}

{"formula": "Pm8Pr2Al", "functional": "PBE", "state": "optimized geometry", "ef_kj_per_mol_atoms": 3, "total_magnetization_mub_per_cell": 0.0, "cell": [[8.939, -2.717, 0.000], [8.939, 2.717, 0.000], [-2.962, 0.000, 7.544]], "species": ["Pm", "Pm", "Pm", "Pm", "Pm", "Pm", "Pm", "Pm", "Pr", "Pr", "Al"], "frac_coords": [[0.020, 0.020, 0.278], [0.174, 0.174, 0.723], [0.337, 0.337, 0.578], [0.406, 0.406, 0.080], [0.594, 0.594, 0.920], [0.663, 0.663, 0.422], [0.826, 0.826, 0.277], [0.980, 0.980, 0.722], [0.190, 0.190, 0.154], [0.810, 0.810, 0.846], [0.500, 0.500, 0.500]]}

{"formula": "PmPr2Al3", "functional": "PBE", "state": "optimized geometry", "ef_kj_per_mol_atoms": -34, "total_magnetization_mub_per_cell": 0.0, "cell": [[2.640, -7.924, 0.000], [2.640, 7.924, 0.000], [0.000, 0.000, 7.505]], "species": ["Pm", "Pm", "Pr", "Pr", "Pr", "Pr", "Al", "Al", "Al", "Al", "Al", "Al"], "frac_coords": [[0.167, 0.833, 0.000], [0.833, 0.167, 0.000], [0.166, 0.834, 0.500], [0.500, 0.500, 0.000], [0.500, 0.500, 0.500], [0.834, 0.166, 0.500], [0.000, 0.000, 0.246], [0.000, 0.000, 0.754], [0.332, 0.668, 0.246], [0.332, 0.668, 0.754], [0.668, 0.332, 0.246], [0.668, 0.332, 0.754]]}

{"formula": "PmPrAl", "functional": "PBE", "state": "optimized geometry", "ef_kj_per_mol_atoms": -19, "de_polymorph_mev_per_atom": 0, "total_magnetization_mub_per_cell": 0.0, "cell": [[-1.768, 1.768, 7.049], [1.768, -1.768, 7.049], [1.768, 1.768, -7.049]], "species": ["Pm", "Pr", "Al"], "frac_coords": [[0.000, 0.000, 0.000], [0.709, 0.709, 0.000], [0.358, 0.358, 0.000]]}

{"formula": "Pm2Pr3Al3", "functional": "PBE", "state": "optimized geometry", "ef_kj_per_mol_atoms": -23, "de_polymorph_mev_per_atom": 0, "total_magnetization_mub_per_cell": 0.0, "cell": [[4.950, 0.000, 0.000], [0.000, 4.951, 0.000], [0.000, 0.000, 9.132]], "species": ["Pm", "Pm", "Pr", "Pr", "Pr", "Al", "Al", "Al"], "frac_coords": [[0.000, 0.000, 0.221], [0.000, 0.000, 0.779], [0.500, 0.000, 0.500], [0.500, 0.500, 0.228], [0.500, 0.500, 0.772], [0.000, 0.500, 0.000], [0.000, 0.500, 0.500], [0.500, 0.000, 0.000]]}

{"formula": "PmPrAl", "functional": "PBE", "state": "optimized geometry", "ef_kj_per_mol_atoms": -13, "de_polymorph_mev_per_atom": 63, "total_magnetization_mub_per_cell": 0.0, "cell": [[5.168, 0.000, 0.000], [-2.584, 4.476, 0.000], [0.000, 0.000, 3.731]], "species": ["Pm", "Pr", "Al"], "frac_coords": [[0.000, 0.000, 0.000], [0.667, 0.333, 0.413], [0.333, 0.667, 0.723]]}

{"formula": "PmPrAl", "functional": "PBE", "state": "optimized geometry", "ef_kj_per_mol_atoms": -2, "de_polymorph_mev_per_atom": 173, "total_magnetization_mub_per_cell": 0.0, "cell": [[0.000, 3.672, 3.672], [3.672, 0.000, 3.672], [3.672, 3.672, 0.000]], "species": ["Pm", "Pr", "Al"], "frac_coords": [[0.000, 0.000, 0.000], [0.500, 0.500, 0.500], [0.750, 0.750, 0.750]]}